[1]
Material: ZnFeIr
Method: DFT, GGA-PBE
State: optimized geometry

```
data_ZnFeIr
_chemical_formula_sum 'Zn4 Fe4 Ir4'
_cell_length_a 2.736
_cell_length_b 13.774
_cell_length_c 4.272
_cell_angle_alpha 90.00
_cell_angle_beta 90.00
_cell_angle_gamma 90.00
_symmetry_space_group_name_H-M 'C m c m'
_symmetry_Int_Tables_number 63
_symmetry_space_group_name_Hall '-C 2c 2'
loop_
_atom_site_label
_atom_site_type_symbol
_atom_site_fract_x
_atom_site_fract_y
_atom_site_fract_z
Zn1 Zn 0.000 0.222 0.250
Fe1 Fe 0.000 0.447 0.750
Ir1 Ir 0.000 0.107 0.750
```

## Properties
The crystal system is orthorhombic. The calculation puts the calculated density at 12.934 g/cm³. The calculation puts the calculated volume at 40.2 Å³/f.u. For the offset from the most stable computed form, the calculation gives 0.000 eV per atom. The value obtained for the total energy is -6.282 eV/atom. The value obtained for the formation energy from the elements is -8 kJ/mol of atoms.

***

[2]
Material: ZrZn2Tc
Method: DFT, GGA-PBE
State: optimized geometry

```
data_ZrZn2Tc
_chemical_formula_sum 'Zr2 Zn4 Tc2'
_cell_length_a 9.760
_cell_length_b 2.782
_cell_length_c 4.960
_cell_angle_alpha 90.00
_cell_angle_beta 104.74
_cell_angle_gamma 90.00
_symmetry_space_group_name_H-M 'C 1 m 1'
_symmetry_Int_Tables_number 8
loop_
_symmetry_equiv_pos_as_xyz
'x,y,z'
'x,-y,z'
'x+1/2,y+1/2,z'
'x+1/2,-y+1/2,z'
loop_
_atom_site_label
_atom_site_type_symbol
_atom_site_fract_x
_atom_site_fract_y
_atom_site_fract_z
Zr1 Zr 0.000 0.000 0.000
Zn1 Zn 0.009 0.500 0.499
Zn2 Zn 0.238 0.000 0.742
Tc1 Tc 0.269 0.500 0.271
```

## Properties
The crystal system is monoclinic. The calculation puts the calculated density at 8.162 g/cm³. The calculation puts the calculated volume at 65.1 Å³/f.u. For the offset from the most stable computed form, the calculation gives 0.236 eV per atom. The value obtained for the total energy is -5.350 eV/atom. The value obtained for the formation energy from the elements is 2 kJ/mol of atoms.

***

[3]
Material: Pu2PaTi
Method: DFT, GGA-PBE
State: optimized geometry

```
data_Pu2PaTi
_chemical_formula_sum 'Pu2 Pa1 Ti1'
_cell_length_a 3.277
_cell_length_b 3.277
_cell_length_c 8.230
_cell_angle_alpha 90.00
_cell_angle_beta 90.00
_cell_angle_gamma 90.00
_symmetry_space_group_name_H-M 'P 4/m m m'
_symmetry_Int_Tables_number 123
_symmetry_space_group_name_Hall '-P 4 2'
loop_
_atom_site_label
_atom_site_type_symbol
_atom_site_fract_x
_atom_site_fract_y
_atom_site_fract_z
Pu1 Pu 0.000 0.000 0.242
Pa1 Pa 0.500 0.500 0.500
Ti1 Ti 0.500 0.500 0.000
```

## Properties
The crystal system is tetragonal. The calculation puts the calculated density at 14.410 g/cm³. The calculation puts the calculated volume at 88.4 Å³/f.u. For the offset from the most stable computed form, the calculation gives 0.000 eV per atom. The value obtained for the total energy is -11.354 eV/atom. The value obtained for the formation energy from the elements is 15 kJ/mol of atoms.